Entry from Alexandria via LeMat-Bulk: a geometry-optimized KOsRh2 structure (PBE).

Calculated values
Crystal system: cubic
Polymorph energy (0 for the lowest one): 926 meV/atom
Formation enthalpy at 0 K: 1.3648 eV/atom
Size of the total moment: 0.00 μB/f.u.
Total energy: -5.393 eV/atom

Geometry as CIF:
```
data_KOsRh2
_chemical_formula_sum 'K1 Os1 Rh2'
_cell_length_a 4.5520
_cell_length_b 4.5520
_cell_length_c 4.5520
_cell_angle_alpha 60.00
_cell_angle_beta 60.00
_cell_angle_gamma 60.00
_space_group_name_H-M_alt 'P 1'
_space_group_IT_number 1
_space_group_name_Hall 'P 1'
loop_
_atom_site_label
_atom_site_type_symbol
_atom_site_fract_x
_atom_site_fract_y
_atom_site_fract_z
_atom_site_occupancy
K1 K 0.0000 0.0000 0.0000 1
Os1 Os 0.7500 0.7500 0.7500 1
Rh1 Rh 0.2500 0.2500 0.2500 1
Rh2 Rh 0.5000 0.5000 0.5000 1
```


Entry from Alexandria via LeMat-Bulk: a geometry-optimized DyCoIr structure (PBE).

Calculated values
Crystal system: orthorhombic
Formation enthalpy at 0 K: -0.5608 eV/atom
Size of the total moment: 0.80 μB/f.u.
Total energy: -7.417 eV/atom

Geometry as CIF:
```
data_DyCoIr
_chemical_formula_sum 'Dy2 Co2 Ir2'
_cell_length_a 5.2011
_cell_length_b 5.2011
_cell_length_c 5.2011
_cell_angle_alpha 121.81
_cell_angle_beta 117.47
_cell_angle_gamma 90.66
_space_group_name_H-M_alt 'P 1'
_space_group_IT_number 1
_space_group_name_Hall 'P 1'
loop_
_atom_site_label
_atom_site_type_symbol
_atom_site_fract_x
_atom_site_fract_y
_atom_site_fract_z
_atom_site_occupancy
Dy1 Dy 0.3716 0.1216 0.2500 1
Dy2 Dy 0.6284 0.8784 0.7500 1
Co1 Co 0.0000 0.0000 0.5000 1
Co2 Co 0.0000 0.5000 0.0000 1
Ir1 Ir 0.0000 0.5000 0.5000 1
Ir2 Ir 0.5000 0.5000 0.0000 1
```


Entry from Alexandria via LeMat-Bulk: a geometry-optimized LaCe2Co structure (PBE).

Calculated values
Crystal system: orthorhombic
Polymorph energy (0 for the lowest one): 0 meV/atom
Formation enthalpy at 0 K: -0.1130 eV/atom
Size of the total moment: 0.00 μB/f.u.
Total energy: -6.088 eV/atom

Geometry as CIF:
```
data_LaCe2Co
_chemical_formula_sum 'La4 Ce8 Co4'
_cell_length_a 6.8420
_cell_length_b 9.3694
_cell_length_c 6.3407
_cell_angle_alpha 90.00
_cell_angle_beta 90.00
_cell_angle_gamma 90.00
_space_group_name_H-M_alt 'P 1'
_space_group_IT_number 1
_space_group_name_Hall 'P 1'
loop_
_atom_site_label
_atom_site_type_symbol
_atom_site_fract_x
_atom_site_fract_y
_atom_site_fract_z
_atom_site_occupancy
La1 La 0.0542 0.2500 0.1169 1
La2 La 0.4458 0.7500 0.6169 1
La3 La 0.5542 0.2500 0.3831 1
La4 La 0.9458 0.7500 0.8831 1
Ce1 Ce 0.1501 0.0619 0.6296 1
Ce2 Ce 0.1501 0.4381 0.6296 1
Ce3 Ce 0.3499 0.5619 0.1296 1
Ce4 Ce 0.3499 0.9381 0.1296 1
Ce5 Ce 0.6501 0.0619 0.8704 1
Ce6 Ce 0.6501 0.4381 0.8704 1
Ce7 Ce 0.8499 0.5619 0.3704 1
Ce8 Ce 0.8499 0.9381 0.3704 1
Co1 Co 0.1001 0.7500 0.3930 1
Co2 Co 0.3999 0.2500 0.8930 1
Co3 Co 0.6001 0.7500 0.1070 1
Co4 Co 0.8999 0.2500 0.6070 1
```


Entry from Alexandria via LeMat-Bulk: a geometry-optimized Tb2SmTm4Sc structure (PBE).

Calculated values
Crystal system: tetragonal
Formation enthalpy at 0 K: 0.0354 eV/atom
Size of the total moment: 0.00 μB/f.u.
Total energy: -4.739 eV/atom

Geometry as CIF:
```
data_Tb2SmTm4Sc
_chemical_formula_sum 'Tb2 Sm1 Tm4 Sc1'
_cell_length_a 4.9407
_cell_length_b 4.9407
_cell_length_c 9.8930
_cell_angle_alpha 90.00
_cell_angle_beta 90.00
_cell_angle_gamma 90.00
_space_group_name_H-M_alt 'P 1'
_space_group_IT_number 1
_space_group_name_Hall 'P 1'
loop_
_atom_site_label
_atom_site_type_symbol
_atom_site_fract_x
_atom_site_fract_y
_atom_site_fract_z
_atom_site_occupancy
Tb1 Tb 0.0000 0.0000 0.0000 1
Tb2 Tb 0.5000 0.5000 0.5000 1
Sm1 Sm 0.0000 0.0000 0.5000 1
Tm1 Tm 0.0000 0.5000 0.2442 1
Tm2 Tm 0.0000 0.5000 0.7558 1
Tm3 Tm 0.5000 0.0000 0.2442 1
Tm4 Tm 0.5000 0.0000 0.7558 1
Sc1 Sc 0.5000 0.5000 0.0000 1
```


Entry from Alexandria via LeMat-Bulk: a geometry-optimized KLuCd2 structure (PBE).

Calculated values
Crystal system: tetragonal
Polymorph energy (0 for the lowest one): 0 meV/atom
Formation enthalpy at 0 K: -0.0824 eV/atom
Size of the total moment: 0.00 μB/f.u.
Total energy: -1.945 eV/atom

Geometry as CIF:
```
data_KLuCd2
_chemical_formula_sum 'K1 Lu1 Cd2'
_cell_length_a 3.7856
_cell_length_b 3.7856
_cell_length_c 8.4494
_cell_angle_alpha 90.00
_cell_angle_beta 90.00
_cell_angle_gamma 90.00
_space_group_name_H-M_alt 'P 1'
_space_group_IT_number 1
_space_group_name_Hall 'P 1'
loop_
_atom_site_label
_atom_site_type_symbol
_atom_site_fract_x
_atom_site_fract_y
_atom_site_fract_z
_atom_site_occupancy
K1 K 0.0000 0.0000 0.0000 1
Lu1 Lu 0.0000 0.0000 0.5000 1
Cd1 Cd 0.5000 0.5000 0.3024 1
Cd2 Cd 0.5000 0.5000 0.6976 1
```


Entry from Alexandria via LeMat-Bulk: a geometry-optimized CdAgSb2I structure (PBE).

Calculated values
Crystal system: tetragonal
Polymorph energy (0 for the lowest one): 0 meV/atom
Size of the total moment: 1.07 μB/f.u.
Total energy: -2.151 eV/atom
Uncorrected formation energy: 0.56 eV per atom

Geometry as CIF:
```
data_CdAgSb2I
_chemical_formula_sum 'Cd1 Ag1 Sb2 I1'
_cell_length_a 5.4363
_cell_length_b 5.4363
_cell_length_c 5.7384
_cell_angle_alpha 90.00
_cell_angle_beta 90.00
_cell_angle_gamma 90.00
_space_group_name_H-M_alt 'P 1'
_space_group_IT_number 1
_space_group_name_Hall 'P 1'
loop_
_atom_site_label
_atom_site_type_symbol
_atom_site_fract_x
_atom_site_fract_y
_atom_site_fract_z
_atom_site_occupancy
Cd1 Cd 0.0000 0.0000 0.0000 1
Ag1 Ag 0.5000 0.5000 0.5000 1
Sb1 Sb 0.0000 0.5000 0.5000 1
Sb2 Sb 0.5000 0.0000 0.5000 1
I1 I 0.5000 0.5000 0.0000 1
```


Entry from Alexandria via LeMat-Bulk: a geometry-optimized RbMgTi2Rh structure (PBE).

Calculated values
Crystal system: tetragonal
Formation enthalpy at 0 K: 1.2772 eV/atom
Size of the total moment: 4.78 μB/f.u.
Total energy: -3.864 eV/atom

Geometry as CIF:
```
data_RbMgTi2Rh
_chemical_formula_sum 'Rb1 Mg1 Ti2 Rh1'
_cell_length_a 5.2805
_cell_length_b 5.2805
_cell_length_c 4.7757
_cell_angle_alpha 90.00
_cell_angle_beta 90.00
_cell_angle_gamma 90.00
_space_group_name_H-M_alt 'P 1'
_space_group_IT_number 1
_space_group_name_Hall 'P 1'
loop_
_atom_site_label
_atom_site_type_symbol
_atom_site_fract_x
_atom_site_fract_y
_atom_site_fract_z
_atom_site_occupancy
Rb1 Rb 0.0000 0.0000 0.0000 1
Mg1 Mg 0.5000 0.5000 0.5000 1
Ti1 Ti 0.0000 0.5000 0.5000 1
Ti2 Ti 0.5000 0.0000 0.5000 1
Rh1 Rh 0.5000 0.5000 0.0000 1
```


Entry from Alexandria via LeMat-Bulk: a geometry-optimized NdPaIrI structure (PBE).

Calculated values
Crystal system: trigonal
Size of the total moment: 0.65 μB/f.u.
Total energy: -6.920 eV/atom
Uncorrected formation energy: -0.75 eV per atom

Geometry as CIF:
```
data_NdPaIrI
_chemical_formula_sum 'Nd1 Pa1 Ir1 I1'
_cell_length_a 8.5501
_cell_length_b 8.5501
_cell_length_c 8.5501
_cell_angle_alpha 27.60
_cell_angle_beta 27.60
_cell_angle_gamma 27.60
_space_group_name_H-M_alt 'P 1'
_space_group_IT_number 1
_space_group_name_Hall 'P 1'
loop_
_atom_site_label
_atom_site_type_symbol
_atom_site_fract_x
_atom_site_fract_y
_atom_site_fract_z
_atom_site_occupancy
Nd1 Nd 0.0000 0.0000 0.0000 1
Pa1 Pa 0.7924 0.7924 0.7924 1
Ir1 Ir 0.4037 0.4037 0.4037 1
I1 I 0.2280 0.2280 0.2280 1
```


Entry from Alexandria via LeMat-Bulk: a geometry-optimized Re4TcAs structure (PBE).

Calculated values
Crystal system: cubic
Formation enthalpy at 0 K: 0.7380 eV/atom
Size of the total moment: 0.00 μB/f.u.
Total energy: -10.063 eV/atom

Geometry as CIF:
```
data_Re4TcAs
_chemical_formula_sum 'Re4 Tc1 As1'
_cell_length_a 5.1862
_cell_length_b 5.1862
_cell_length_c 5.1862
_cell_angle_alpha 60.00
_cell_angle_beta 60.00
_cell_angle_gamma 60.00
_space_group_name_H-M_alt 'P 1'
_space_group_IT_number 1
_space_group_name_Hall 'P 1'
loop_
_atom_site_label
_atom_site_type_symbol
_atom_site_fract_x
_atom_site_fract_y
_atom_site_fract_z
_atom_site_occupancy
Re1 Re 0.1254 0.1254 0.1254 1
Re2 Re 0.1254 0.1254 0.6237 1
Re3 Re 0.1254 0.6237 0.1254 1
Re4 Re 0.6237 0.1254 0.1254 1
Tc1 Tc 0.7500 0.7500 0.7500 1
As1 As 0.5000 0.5000 0.5000 1
```


Entry from Alexandria via LeMat-Bulk: a geometry-optimized Ca2NdGa structure (PBE).

Calculated values
Crystal system: trigonal
Polymorph energy (0 for the lowest one): 136 meV/atom
Formation enthalpy at 0 K: -0.0775 eV/atom
Size of the total moment: 0.00 μB/f.u.
Total energy: -3.027 eV/atom

Geometry as CIF:
```
data_Ca2NdGa
_chemical_formula_sum 'Ca2 Nd1 Ga1'
_cell_length_a 11.0911
_cell_length_b 11.0911
_cell_length_c 11.0911
_cell_angle_alpha 19.33
_cell_angle_beta 19.33
_cell_angle_gamma 19.33
_space_group_name_H-M_alt 'P 1'
_space_group_IT_number 1
_space_group_name_Hall 'P 1'
loop_
_atom_site_label
_atom_site_type_symbol
_atom_site_fract_x
_atom_site_fract_y
_atom_site_fract_z
_atom_site_occupancy
Ca1 Ca 0.0000 0.0000 0.0000 1
Ca2 Ca 0.1957 0.1957 0.1957 1
Nd1 Nd 0.4323 0.4323 0.4323 1
Ga1 Ga 0.5976 0.5976 0.5976 1
```


Entry from Alexandria via LeMat-Bulk: a geometry-optimized MnTcNi structure (PBE).

Calculated values
Crystal system: hexagonal
Polymorph energy (0 for the lowest one): 0 meV/atom
Formation enthalpy at 0 K: 0.0470 eV/atom
Size of the total moment: 2.38 μB/f.u.
Total energy: -8.392 eV/atom

Geometry as CIF:
```
data_MnTcNi
_chemical_formula_sum 'Mn1 Tc1 Ni1'
_cell_length_a 4.1433
_cell_length_b 4.1433
_cell_length_c 2.5223
_cell_angle_alpha 90.00
_cell_angle_beta 90.00
_cell_angle_gamma 120.00
_space_group_name_H-M_alt 'P 1'
_space_group_IT_number 1
_space_group_name_Hall 'P 1'
loop_
_atom_site_label
_atom_site_type_symbol
_atom_site_fract_x
_atom_site_fract_y
_atom_site_fract_z
_atom_site_occupancy
Mn1 Mn 0.0000 0.0000 0.0000 1
Tc1 Tc 0.3333 0.6667 0.5000 1
Ni1 Ni 0.6667 0.3333 0.0000 1
```


Entry from Alexandria via LeMat-Bulk: a geometry-optimized CaRe2As structure (PBE).

Calculated values
Crystal system: orthorhombic
Formation enthalpy at 0 K: 0.7658 eV/atom
Size of the total moment: 0.00 μB/f.u.
Total energy: -7.121 eV/atom

Geometry as CIF:
```
data_CaRe2As
_chemical_formula_sum 'Ca1 Re2 As1'
_cell_length_a 3.0134
_cell_length_b 4.1817
_cell_length_c 5.9300
_cell_angle_alpha 90.00
_cell_angle_beta 90.00
_cell_angle_gamma 90.00
_space_group_name_H-M_alt 'P 1'
_space_group_IT_number 1
_space_group_name_Hall 'P 1'
loop_
_atom_site_label
_atom_site_type_symbol
_atom_site_fract_x
_atom_site_fract_y
_atom_site_fract_z
_atom_site_occupancy
Ca1 Ca 0.0000 0.0000 0.0000 1
Re1 Re 0.5000 0.5000 0.3042 1
Re2 Re 0.5000 0.5000 0.6958 1
As1 As 0.0000 0.0000 0.5000 1
```


Q: size of the total moment of number 5 (KLuCd2)?
A: 0.00 μB/f.u.


Q: What is the size of the total moment in the second record?
A: 0.80 μB/f.u.


Q: Which of these has the highest size of the total moment?
A: RbMgTi2Rh